Density functional theory data (GGA-PBE) for a relaxed AcPrPu2S4 crystal.

POSCAR file:
```
AcPrPu2S4
1.0
-3.173 2.368 -0.947
-2.519 -5.091 -4.291
-4.268 -4.246 3.685
Ac Pr Pu S
1 1 2 4
direct
0.500 0.500 0.000
0.000 0.500 0.500
0.000 0.000 0.000
0.500 0.000 0.500
0.000 0.771 0.737
0.000 0.229 0.263
0.500 0.767 0.250
0.500 0.233 0.750
```

Computed properties:
**Total energy**: -8.639 eV per atom
**Raw formation energy**: -1.881 eV per atom
**Symmetry**: P2/m

---

Density functional theory data (GGA-PBE) for a relaxed Ac4PrPu3S8 crystal.

POSCAR file:
```
Ac4PrPu3S8
1.0
8.285 0.000 0.000
0.000 8.349 0.041
-4.143 -4.137 5.861
Ac Pr Pu S
4 1 3 8
direct
0.500 0.000 0.000
0.500 0.000 0.500
0.000 0.000 0.000
0.000 0.000 0.500
0.000 0.500 0.000
0.500 0.500 0.000
0.500 0.500 0.500
0.000 0.500 0.500
0.246 0.730 0.984
0.246 0.730 0.492
0.258 0.275 0.517
0.737 0.730 0.984
0.263 0.270 0.016
0.742 0.725 0.483
0.754 0.270 0.508
0.754 0.270 0.016
```

Computed properties:
**Total energy**: -7.980 eV per atom
**Raw formation energy**: -1.903 eV per atom
**Symmetry**: R-3m

---

Density functional theory data (GGA-PBE) for a relaxed AcPr2PuSb4 crystal.

POSCAR file:
```
AcPr2PuSb4
1.0
4.597 0.000 0.000
0.000 7.963 -0.164
0.000 2.796 7.438
Ac Pr Pu Sb
1 2 1 4
direct
0.000 0.500 0.500
0.000 0.000 0.000
0.500 0.000 0.500
0.500 0.500 0.000
0.000 0.748 0.761
0.000 0.252 0.239
0.500 0.756 0.238
0.500 0.244 0.762
```

Computed properties:
**Total energy**: -6.579 eV per atom
**Raw formation energy**: -1.018 eV per atom
**Symmetry**: P2/m

---

Repeat the second record exactly.
Density functional theory data (GGA-PBE) for a relaxed Ac4PrPu3S8 crystal.

POSCAR file:
```
Ac4PrPu3S8
1.0
8.285 0.000 0.000
0.000 8.349 0.041
-4.143 -4.137 5.861
Ac Pr Pu S
4 1 3 8
direct
0.500 0.000 0.000
0.500 0.000 0.500
0.000 0.000 0.000
0.000 0.000 0.500
0.000 0.500 0.000
0.500 0.500 0.000
0.500 0.500 0.500
0.000 0.500 0.500
0.246 0.730 0.984
0.246 0.730 0.492
0.258 0.275 0.517
0.737 0.730 0.984
0.263 0.270 0.016
0.742 0.725 0.483
0.754 0.270 0.508
0.754 0.270 0.016
```

Computed properties:
**Total energy**: -7.980 eV per atom
**Raw formation energy**: -1.903 eV per atom
**Symmetry**: R-3m